No. 1
TaAgSeO5 | PBE-GGA | relaxed

Results
size of the total moment: 0.00 μB/f.u.
uncorrected formation energy: -1.38 eV/atom
theoretical density: 6.466 g cm⁻³

a = 7.3765 Å, b = 8.9508 Å, c = 7.8236 Å
α = 90.00°, β = 117.07°, γ = 90.00°
Last column: nearest neighbours and their distance in Å.
Space group C2/c (No. 15)
Inequivalent atoms, fractional coordinates:
1 Ta 0.2500 0.2500 0.0000 [4 per cell]  6 O 1.99-2.08
2 Ag 0.0000 0.0685 0.2500 [4 per cell]  4 O 2.29-2.49
3 Se 0.0000 0.4471 0.2500 [4 per cell]  2 O 1.76
4 O 0.0000 0.2512 0.7500 [4 per cell]  2 Ta 1.99
5 O 0.0717 0.3093 0.1322 [8 per cell]  1 Se 1.76
6 O 0.2218 0.0337 0.0393 [8 per cell]  1 Ta 1.99, 1 Se 2.11

***

No. 2
TaAgSeO6 | PBE-GGA | relaxed

Results
size of the total moment: 0.00 μB/f.u.
uncorrected formation energy: -1.26 eV/atom
theoretical density: 6.376 g cm⁻³

a = 5.1800 Å, b = 5.1800 Å, c = 10.3951 Å
α = 90.00°, β = 90.00°, γ = 120.00°
Last column: nearest neighbours and their distance in Å.
Space group P-31c (No. 163)
Inequivalent atoms, fractional coordinates:
1 Ta 0.3333 0.6667 0.2500 [2 per cell]  6 O 2.01
2 Ag 0.0000 0.0000 0.0000 [2 per cell]  6 O 2.51
3 Se 0.3333 0.6667 0.7500 [2 per cell]  6 O 1.85
4 O 0.0238 0.3932 0.6486 [12 per cell]  1 Se 1.85, 1 Ta 2.01

***

No. 3
TbAgSeO4 | PBE-GGA | relaxed

Results
size of the total moment: 0.00 μB/f.u.
uncorrected formation energy: -1.53 eV/atom
theoretical density: 6.348 g cm⁻³

a = 7.1659 Å, b = 7.2362 Å, c = 8.2687 Å
α = 90.00°, β = 90.00°, γ = 90.00°
Last column: nearest neighbours and their distance in Å.
Space group Imma (No. 74)
Inequivalent atoms, fractional coordinates:
1 Tb 0.2500 0.2500 0.2500 [4 per cell]  6 O 2.30-2.41
2 Ag 0.0000 0.0000 0.0000 [4 per cell]  2 O 2.11
3 Se 0.0000 0.2500 0.6616 [4 per cell]  2 O 1.71
4 O 0.0000 0.0496 0.2513 [8 per cell]  1 Ag 2.11, 1 Se 2.28, 2 Tb 2.30
5 O 0.1888 0.2500 0.5360 [8 per cell]  1 Se 1.71